Entry from the Alexandria database: KCuPd3 after structural relaxation (GGA-PBE).

Computed properties:
- Excess energy over the best structure of this formula in the dataset: 1166.4 meV/atom
- Formation energy: 1566 meV per atom

abc: 4.9636 4.9636 4.9636
angles: 90.00 90.00 90.00
Sites, in units of the cell vectors:
K 0.0000 0.0000 0.0000
Cu 0.5000 0.5000 0.5000
Pd 0.0000 0.5000 0.0000
Pd 0.0000 0.0000 0.5000
Pd 0.5000 0.0000 0.0000



Entry from the Alexandria database: Np3Tl4AgSe8 after structural relaxation (GGA-PBE).

Computed properties:
- Formation energy without anion corrections: -1179.5 kJ/mol of formula units

abc: 8.3306 9.1238 8.3319
angles: 117.17 119.99 90.00
Sites, in units of the cell vectors:
Np 0.5000 0.5000 0.0000
Np 0.5000 0.5000 0.5000
Np 0.0000 0.5000 0.5000
Tl 0.5000 0.0000 0.0000
Tl 0.5000 0.0000 0.5000
Tl 0.0000 0.0000 0.0000
Tl 0.0000 0.0000 0.5000
Ag 0.0000 0.5000 0.0000
Se 0.2393 0.7032 0.9639
Se 0.2395 0.7033 0.4790
Se 0.2652 0.2954 0.5303
Se 0.7245 0.7032 0.9639
Se 0.2755 0.2968 0.0361
Se 0.7348 0.7046 0.4697
Se 0.7605 0.2967 0.5210
Se 0.7607 0.2968 0.0361